Record 1
A relaxed structure of Li3Tm2TiSe6, computed with PBE-GGA.

The structure in extended XYZ format:
```
12
Lattice="3.396 -5.879 0.000 3.396 5.879 0.000 -2.266 0.000 6.459" Properties=species:S:1:pos:R:3 pbc="T T T"
Li 0.000 0.000 0.000
Li 3.396 1.961 0.000
Li 3.396 -1.961 0.000
Tm 2.263 3.911 3.230
Tm 2.263 -3.911 3.230
Ti 2.263 0.000 3.230
Se 1.183 1.862 1.630
Se 0.121 0.000 4.803
Se 1.183 -1.862 1.630
Se 3.343 1.862 4.829
Se 4.405 0.000 1.656
Se 3.343 -1.862 4.829
```


Record 2
A relaxed structure of Li2TmTiSe4, computed with PBE-GGA.

The structure in extended XYZ format:
```
8
Lattice="6.704 0.000 0.000 0.000 3.853 0.000 -2.230 0.000 6.463" Properties=species:S:1:pos:R:3 pbc="T T T"
Li 0.000 0.000 0.000
Li 3.352 1.926 0.000
Tm -1.115 1.926 3.232
Ti 2.237 0.000 3.232
Se 0.105 0.000 4.843
Se 1.216 1.926 1.684
Se 3.258 1.926 4.780
Se 4.369 0.000 1.621
```


Record 3
A relaxed structure of Li3UTi2Se6, computed with PBE-GGA.

The structure in extended XYZ format:
```
12
Lattice="3.307 -5.738 0.000 3.307 5.738 0.000 -2.215 0.000 6.493" Properties=species:S:1:pos:R:3 pbc="T T T"
Li 0.000 0.000 0.000
Li 3.307 1.840 0.000
Li 3.307 -1.840 0.000
U 2.199 0.000 3.247
Ti 2.199 3.757 3.247
Ti 2.199 -3.757 3.247
Se 1.028 2.016 1.648
Se -0.139 0.000 4.808
Se 1.028 -2.016 1.648
Se 3.370 2.016 4.845
Se 4.537 0.000 1.686
Se 3.370 -2.016 4.845
```


Record 4
A relaxed structure of Li4UTi3Se8, computed with PBE-GGA.

The structure in extended XYZ format:
```
16
Lattice="3.782 2.184 6.506 -3.782 2.184 6.506 0.000 -4.368 6.506" Properties=species:S:1:pos:R:3 pbc="T T T"
Li 0.000 0.000 0.000
Li -1.891 -1.092 6.506
Li -1.891 1.092 13.011
Li 0.000 2.184 6.506
U 0.000 0.000 9.758
Ti -3.782 0.000 9.758
Ti -1.891 1.092 3.253
Ti 1.891 1.092 3.253
Se -1.981 -1.144 11.359
Se 0.000 -2.288 8.157
Se -1.981 1.144 8.157
Se 0.000 0.000 4.767
Se 0.000 0.000 14.749
Se 1.981 -1.144 11.359
Se 0.000 2.288 11.359
Se 1.981 1.144 8.157
```


Number 1: ΔE_f (raw) -1.50 eV per atom, VASP energy -5.12 eV per atom, calculated volume 21.493 Å³/atom. Number 2: ΔE_f (raw) -1.41 eV per atom, VASP energy -5.18 eV per atom, calculated volume 20.866 Å³/atom. Number 3: ΔE_f (raw) -1.20 eV per atom, VASP energy -5.68 eV per atom, calculated volume 20.533 Å³/atom. Number 4: ΔE_f (raw) -1.20 eV per atom, VASP energy -5.60 eV per atom, calculated volume 20.152 Å³/atom.